1.
Compound: ThZrSc2
Source: Alexandria
Functional: GGA-PBE
Structure: relaxed

Cell: 5.246 5.246 5.246 Å, 60.00 60.00 60.00°
Sites, in units of the cell vectors:
1 Sc 0.250 0.250 0.250
2 Sc 0.750 0.750 0.750
3 Zr 0.000 0.000 0.000
4 Th 0.500 0.500 0.500

## Properties
Energy of formation from the pure elements (eV/atom): 0.091
ΔE to the lowest computed polymorph (eV/atom): 0.078
SG: Fm-3m (225)
Mass density (Mg/m³): 6.72

2.
Compound: Rb2ErPuSe4
Source: Alexandria
Functional: GGA-PBE
Structure: relaxed

Cell: 4.266 7.410 8.338 Å, 107.19 90.00 90.00°
Each line ends with the local moment (μB).
Sites, in units of the cell vectors:
1 Rb 0.500 0.000 0.500  0.00
2 Rb 0.000 0.500 0.500  0.00
3 Er 0.500 0.500 0.000  0.02
4 Pu 0.000 0.000 0.000  5.11
5 Se 0.500 0.236 0.194  -0.07
6 Se 0.500 0.764 0.806  -0.07
7 Se 0.000 0.275 0.805  -0.03
8 Se 0.000 0.725 0.195  -0.03

## Properties
ΔE_f (raw) (eV per atom): -1.575
SG: P2/m (10)
Mass density (Mg/m³): 5.92

3.
Compound: GdTlAu
Source: Alexandria
Functional: GGA-PBE
Structure: relaxed

Cell: 4.877 4.877 4.877 Å, 60.00 60.00 60.00°
Each line ends with the local moment (μB).
Sites, in units of the cell vectors:
1 Tl 0.500 0.500 0.500  -0.07
2 Gd 0.000 0.000 0.000  -7.12
3 Au 0.250 0.250 0.250  -0.05

## Properties
Energy of formation from the pure elements (eV/atom): -0.516
SG: F-43m (216)
Mass density (Mg/m³): 11.31

4.
Compound: KInHgSb
Source: Alexandria
Functional: GGA-PBE
Structure: relaxed

Cell: 5.552 5.552 5.552 Å, 60.00 60.00 60.00°
Sites, in units of the cell vectors:
1 Sb 0.000 0.000 0.000
2 K 0.500 0.500 0.500
3 Hg 0.750 0.750 0.750
4 In 0.250 0.250 0.250

## Properties
ΔE_f (raw) (eV per atom): -0.117
ΔE to the lowest computed polymorph (eV/atom): 0.024
SG: F-43m (216)
Mass density (Mg/m³): 6.53

5.
Compound: Sm4Hg2Te5
Source: Alexandria
Functional: GGA-PBE
Structure: relaxed

Cell: 4.361 7.101 14.238 Å, 82.98 98.81 90.00°
Sites, in units of the cell vectors:
1 Sm 0.690 0.618 0.380
2 Sm 0.035 0.720 0.070
3 Sm 0.310 0.382 0.620
4 Sm 0.965 0.280 0.930
5 Hg 0.919 0.711 0.838
6 Hg 0.081 0.289 0.162
7 Te 0.132 0.862 0.264
8 Te 0.868 0.138 0.736
9 Te 0.207 0.307 0.413
10 Te 0.500 0.000 0.000
11 Te 0.793 0.693 0.587

## Properties
ΔE_f (raw) (eV per atom): -0.871
SG: C2/m (12)
Mass density (Mg/m³): 6.30

6.
Compound: Tb2Be2Pd5
Source: Alexandria
Functional: GGA-PBE
Structure: relaxed

Cell: 4.055 4.055 9.001 Å, 90.00 90.00 90.00°
Sites, in units of the cell vectors:
1 Tb 0.000 0.000 0.000
2 Tb 0.000 0.000 0.500
3 Be 0.500 0.500 0.134
4 Be 0.500 0.500 0.866
5 Pd 0.500 0.000 0.257
6 Pd 0.500 0.000 0.743
7 Pd 0.000 0.500 0.257
8 Pd 0.000 0.500 0.743
9 Pd 0.500 0.500 0.500

## Properties
Energy of formation from the pure elements (eV/atom): -0.738
SG: P4/mmm (123)
Mass density (Mg/m³): 9.74

7.
Compound: ZrIn2Fe
Source: Alexandria
Functional: GGA-PBE
Structure: relaxed

Cell: 3.178 3.218 8.231 Å, 78.70 90.00 90.00°
Each line ends with the local moment (μB).
Sites, in units of the cell vectors:
1 Fe 0.500 0.821 0.732  1.28
2 In 0.000 0.217 0.941  -0.03
3 In 0.500 0.053 0.271  0.01
4 Zr 0.000 0.409 0.557  -0.24

## Properties
Energy of formation from the pure elements (eV/atom): -0.007
SG: Amm2 (38)
Mass density (Mg/m³): 7.58

8.
Compound: HoTm2Zr
Source: Alexandria
Functional: GGA-PBE
Structure: relaxed

Cell: 3.975 3.975 7.171 Å, 90.00 90.00 90.00°
Sites, in units of the cell vectors:
1 Tm 0.000 0.000 0.727
2 Tm 0.000 0.000 0.273
3 Ho 0.500 0.500 0.000
4 Zr 0.500 0.500 0.500

## Properties
Energy of formation from the pure elements (eV/atom): 0.162
ΔE to the lowest computed polymorph (eV/atom): 0.104
SG: P4/mmm (123)
Mass density (Mg/m³): 8.71